--- A ---
Computed, not measured: a geometry-optimized CsNaN2 structure at the GGA-PBE level of DFT.

Geometry as CIF:
```
data_CsNaN2
_symmetry_space_group_name_H-M 'F m -3 m'
_symmetry_Int_Tables_number 225
_symmetry_space_group_name_Hall '-F 4 2 3'
_cell_length_a 7.028
_cell_length_b 7.028
_cell_length_c 7.028
_cell_angle_alpha 90.00
_cell_angle_beta 90.00
_cell_angle_gamma 90.00
loop_
_atom_site_label
_atom_site_type_symbol
_atom_site_fract_x
_atom_site_fract_y
_atom_site_fract_z
Cs1 Cs 0.000 0.000 0.000
Na1 Na 0.000 0.000 0.500
N1 N 0.250 0.250 0.250
```

Computed properties:
Calculated volume ... 21.70 Å³ per atom

=====

--- B ---
Computed, not measured: a geometry-optimized CsNaN2 structure at the GGA-PBE level of DFT.

Geometry as CIF:
```
data_CsNaN2
_symmetry_space_group_name_H-M 'R -3 m'
_symmetry_Int_Tables_number 166
_symmetry_space_group_name_Hall '-R 3 2"'
_cell_length_a 3.8273
_cell_length_b 3.8273
_cell_length_c 22.0270
_cell_angle_alpha 90.00
_cell_angle_beta 90.00
_cell_angle_gamma 120.00
loop_
_atom_site_label
_atom_site_type_symbol
_atom_site_fract_x
_atom_site_fract_y
_atom_site_fract_z
Cs1 Cs 0.0000 0.0000 0.0000
Na1 Na 0.0000 0.0000 0.5000
N1 N 0.0000 0.0000 0.1026
```

Computed properties:
Calculated volume ... 23.29 Å³ per atom

=====

A is the most stable structure shown above.